Record 1
An optimized crystal structure of TiTl2Sb2, computed with PBE.

For the formation energy from raw total energies, the calculation gives 0.071 eV per atom. The crystal system is tetragonal. For the volume, the calculation gives 29.07 Å³/atom. As for the calculated total energy: -4.104 eV/atom.

The structure belongs to space group P4/mbm (No. 127); the cell edges are 7.2824, 7.2824 and 5.4812 Å and the angles 90.00°, 90.00° and 90.00°. The distinct sites, in fractional coordinates, are Ti at (0.0000, 0.0000, 0.0000), Tl at (0.1778, 0.3222, 0.5000) and Sb at (0.1433, 0.6433, 0.0000).

---

Record 2
An optimized crystal structure of Li4Tb3Tl4, computed with PBE.

The crystal system is monoclinic. The calculation puts the energy relative to the elements at -273 meV per atom. For the volume, the calculation gives 23.85 Å³/atom. As for the calculated total energy: -3.093 eV/atom.

The structure belongs to space group C2/m (No. 12); the cell edges are 30.9616, 3.5076 and 4.8930 Å and the angles 90.00°, 99.06° and 90.00°. The distinct sites, in fractional coordinates, are Li at (0.0929, 0.0000, 0.0931), Li at (0.2401, 0.0000, 0.7402), Tb at (0.0000, 0.5000, 0.0000), Tb at (0.1440, 0.5000, 0.6441), Tl at (0.0515, 0.0000, 0.5517) and Tl at (0.1840, 0.0000, 0.1843).

---

Record 3
An optimized crystal structure of TiSiAg3, computed with PBE.

For the formation energy from raw total energies, the calculation gives 1.357 eV per atom. The crystal system is cubic. For the volume, the calculation gives 25.06 Å³/atom. As for the calculated total energy: -3.017 eV/atom.

The structure belongs to space group Pm-3m (No. 221); the cell edges are 5.0043, 5.0043 and 5.0043 Å and the angles 90.00°, 90.00° and 90.00°. The distinct sites, in fractional coordinates, are Ti at (0.0000, 0.0000, 0.0000), Si at (0.5000, 0.5000, 0.5000) and Ag at (0.0000, 0.0000, 0.5000).

---

Record 4
An optimized crystal structure of MgAlGa3, computed with PBE.

The crystal system is orthorhombic. The calculation puts the energy relative to the elements at -16 meV per atom. For the volume, the calculation gives 19.26 Å³/atom. As for the calculated total energy: -2.900 eV/atom.

The structure belongs to space group Pnma (No. 62); the cell edges are 16.1344, 4.2223 and 5.6543 Å and the angles 90.00°, 90.00° and 90.00°. The distinct sites, in fractional coordinates, are Mg at (0.0425, 0.2500, 0.1578), Al at (0.1334, 0.7500, 0.4274), Ga at (0.0594, 0.2500, 0.6560), Ga at (0.1417, 0.7500, 0.9312) and Ga at (0.2205, 0.2500, 0.1767).

---

Record 5
An optimized crystal structure of Sc2TaB, computed with PBE.

The crystal system is tetragonal. The calculation puts the energy relative to the elements at 360 meV per atom. For the volume, the calculation gives 19.55 Å³/atom. As for the calculated total energy: -7.439 eV/atom.

The structure belongs to space group I-42d (No. 122); the cell edges are 8.3626, 8.3626 and 4.4726 Å and the angles 90.00°, 90.00° and 90.00°. The distinct sites, in fractional coordinates, are Sc at (0.1239, 0.2500, 0.1250), Ta at (0.0000, 0.0000, 0.5000) and B at (0.0000, 0.0000, 0.0000).

---

Record 6
An optimized crystal structure of SrHg4P, computed with PBE.

The crystal system is cubic. The calculation puts the energy relative to the elements at 19 meV per atom. For the volume, the calculation gives 26.58 Å³/atom. As for the calculated total energy: -1.365 eV/atom.

The structure belongs to space group F-43m (No. 216); the cell edges are 8.6089, 8.6089 and 8.6089 Å and the angles 90.00°, 90.00° and 90.00°. The distinct sites, in fractional coordinates, are Sr at (0.0000, 0.0000, 0.0000), Hg at (0.1241, 0.1241, 0.6241) and P at (0.2500, 0.2500, 0.2500).

---

Q: calculated total energy of number 5 (Sc2TaB)?
A: -7.439 eV/atom

---

Q: calculated total energy of number 1 (TiTl2Sb2)?
A: -4.104 eV/atom

---

Repeat the first record exactly.
An optimized crystal structure of TiTl2Sb2, computed with PBE.

For the formation energy from raw total energies, the calculation gives 0.071 eV per atom. The crystal system is tetragonal. For the volume, the calculation gives 29.07 Å³/atom. As for the calculated total energy: -4.104 eV/atom.

The structure belongs to space group P4/mbm (No. 127); the cell edges are 7.2824, 7.2824 and 5.4812 Å and the angles 90.00°, 90.00° and 90.00°. The distinct sites, in fractional coordinates, are Ti at (0.0000, 0.0000, 0.0000), Tl at (0.1778, 0.3222, 0.5000) and Sb at (0.1433, 0.6433, 0.0000).

---

Q: Which formula does entry 2 have?
A: Li4Tb3Tl4